[1]
The following is a DFT calculation (PBE) of a relaxed structure of PuPaGa.

Properties
* ΔE_f: -0.077 eV/atom

Unit cell a=3.079 b=3.079 c=7.381 alpha=102.04 beta=102.04 gamma=90.00
Positions (direct):
Pa  0.326  0.326  0.652
Ga  0.666  0.666  0.332
Pu  0.008  0.008  0.016



[2]
The following is a DFT calculation (PBE) of a relaxed structure of CaTaCu2.

Properties
* ΔE_f: 0.322 eV/atom

Unit cell a=3.142 b=3.142 c=7.320 alpha=90.00 beta=90.00 gamma=90.00
Positions (direct):
Ta  0.000  0.000  0.437
Cu  0.000  0.000  0.062
Cu  0.500  0.500  0.222
Ca  0.500  0.500  0.779



[3]
The following is a DFT calculation (PBE) of a relaxed structure of Ca2WSe.

Unit cell a=5.116 b=5.116 c=3.715 alpha=90.00 beta=90.00 gamma=90.00
Positions (direct):
Ca  0.500  0.500  0.000
Ca  0.000  0.000  0.000
W  0.000  0.500  0.500
Se  0.500  0.000  0.500



[4]
The following is a DFT calculation (PBE) of a relaxed structure of Y2WCl.

Unit cell a=3.422 b=3.417 c=8.117 alpha=90.00 beta=90.00 gamma=90.00
Positions (direct):
Y  0.000  0.000  0.969
Y  0.000  0.000  0.531
W  0.500  0.500  0.750
Cl  0.500  0.500  0.250



[5]
The following is a DFT calculation (PBE) of a relaxed structure of Hf6PIr.

Properties
* ΔE_f: -0.241 eV/atom

Unit cell a=5.654 b=5.654 c=6.118 alpha=97.62 beta=97.62 gamma=110.91
Positions (direct):
Hf  0.177  0.533  0.200
Hf  0.823  0.467  0.800
Hf  0.467  0.823  0.800
Hf  0.790  0.790  0.293
Hf  0.210  0.210  0.707
Hf  0.533  0.177  0.200
P  0.500  0.500  0.500
Ir  0.000  0.000  0.000



[6]
The following is a DFT calculation (PBE) of a relaxed structure of SrZn2Sb.

Unit cell a=4.564 b=4.564 c=6.432 alpha=68.98 beta=68.98 gamma=60.46
Positions (direct):
Zn  0.021  0.021  0.937
Zn  0.479  0.479  0.563
Sr  0.250  0.250  0.250
Sb  0.750  0.750  0.750



[7]
The following is a DFT calculation (PBE) of a relaxed structure of SeSBr.

Unit cell a=4.206 b=12.099 c=14.498 alpha=75.47 beta=107.48 gamma=52.03
Positions (direct):
S  0.860  0.974  0.442
S  0.140  0.026  0.558
S  0.540  0.230  0.530
S  0.460  0.770  0.470
Br  0.307  0.837  0.843
Br  0.160  0.472  0.365
Br  0.840  0.528  0.635
Br  0.693  0.163  0.157
Se  0.812  0.184  0.000
Se  0.188  0.816  0.000
Se  0.690  0.802  0.129
Se  0.310  0.198  0.871



[8]
The following is a DFT calculation (PBE) of a relaxed structure of Y2GeOs2.

Properties
* ΔE_f: -0.239 eV/atom

Unit cell a=6.678 b=6.678 c=4.572 alpha=90.00 beta=90.00 gamma=90.00
Positions (direct):
Y  0.322  0.178  0.500
Y  0.822  0.322  0.500
Y  0.178  0.678  0.500
Y  0.678  0.822  0.500
Os  0.870  0.630  0.000
Os  0.630  0.130  0.000
Os  0.130  0.370  0.000
Os  0.370  0.870  0.000
Ge  0.500  0.500  0.000
Ge  0.000  0.000  0.000



[9]
The following is a DFT calculation (PBE) of a relaxed structure of Rb2CdHg2.

Properties
* ΔE_f: -0.194 eV/atom

Unit cell a=7.066 b=7.122 c=9.203 alpha=100.80 beta=90.00 gamma=119.74
Positions (direct):
Rb  0.481  0.705  0.855
Rb  0.777  0.295  0.645
Rb  0.223  0.705  0.355
Rb  0.519  0.295  0.145
Hg  0.735  0.734  0.499
Hg  0.999  0.734  0.999
Hg  0.001  0.266  0.001
Hg  0.265  0.266  0.501
Cd  0.872  0.000  0.250
Cd  0.128  0.000  0.750



[10]
The following is a DFT calculation (PBE) of a relaxed structure of La4Pr6Er.

Properties
* ΔE_f: 0.238 eV/atom

Unit cell a=6.847 b=6.847 c=9.800 alpha=110.45 beta=110.45 gamma=90.00
Positions (direct):
La  0.719  0.039  0.758
La  0.961  0.961  0.242
La  0.281  0.281  0.242
La  0.039  0.719  0.758
Pr  0.000  0.500  0.000
Pr  0.498  0.864  0.362
Pr  0.502  0.502  0.638
Pr  0.136  0.136  0.638
Pr  0.864  0.498  0.362
Pr  0.500  0.000  0.000
Er  0.500  0.500  0.000



[11]
The following is a DFT calculation (PBE) of a relaxed structure of SrZrAl2.

Properties
* ΔE_f: -0.218 eV/atom

Unit cell a=3.238 b=4.109 c=7.196 alpha=90.00 beta=90.00 gamma=90.00
Positions (direct):
Sr  0.500  0.500  0.250
Al  0.000  0.000  0.943
Al  0.000  0.000  0.557
Zr  0.500  0.500  0.750



[12]
The following is a DFT calculation (PBE) of a relaxed structure of Sr2HfCdAu6.

Properties
* ΔE_f: -0.225 eV/atom

Unit cell a=7.473 b=7.473 c=7.473 alpha=60.00 beta=60.00 gamma=90.00
Positions (direct):
Au  0.748  0.748  0.000
Au  0.748  0.748  0.505
Au  0.252  0.748  0.000
Au  0.252  0.252  0.495
Au  0.252  0.252  0.000
Au  0.748  0.252  0.000
Sr  0.750  0.250  0.500
Sr  0.250  0.750  0.500
Cd  0.000  0.000  0.000
Hf  0.500  0.500  0.000



Number 1: electronic total energy -9.03 eV per atom. Number 2: electronic total energy -5.19 eV per atom. Number 3: electronic total energy -4.82 eV per atom. Number 4: electronic total energy -7.23 eV per atom. Number 5: electronic total energy -9.49 eV per atom. Number 6: electronic total energy -2.35 eV per atom. Number 7: electronic total energy -3.09 eV per atom. Number 8: electronic total energy -8.24 eV per atom. Number 9: electronic total energy -0.88 eV per atom. Number 10: electronic total energy -4.58 eV per atom. Number 11: electronic total energy -4.65 eV per atom. Number 12: electronic total energy -3.61 eV per atom.